1.
Compound: KLi2CdAs
Source: the Alexandria database
Functional: PBE-GGA
Structure: relaxed

The structure in POSCAR format:
```
KLi2CdAs
1.0
5.263 0.000 0.000
0.000 5.263 0.000
0.000 0.000 5.325
As Li K Cd
1 2 1 1
Cartesian
0.000 0.000 2.663 As
0.000 2.631 0.000 Li
2.631 0.000 0.000 Li
2.631 2.631 2.663 K
0.000 0.000 0.000 Cd
```

## Properties
As for the theoretical density: 2.706 g cm⁻³. The magnetic moment is 0.00 μB per cell. As for the formation enthalpy at 0 K: -0.025 eV/atom. The space-group type is P4/mmm (123). The calculation puts the uncorrected energy at -2.12 eV per atom.

---

2.
Compound: KLi2CdAs
Source: the Alexandria database
Functional: PBE-GGA
Structure: relaxed

The structure in POSCAR format:
```
KLi2CdAs
1.0
4.996 0.000 0.000
0.000 4.996 0.000
0.000 0.000 5.758
As Li K Cd
1 2 1 1
Cartesian
0.000 0.000 0.000 As
0.000 2.498 0.000 Li
2.498 0.000 0.000 Li
2.498 2.498 2.879 K
0.000 0.000 2.879 Cd
```

## Properties
As for the theoretical density: 2.777 g cm⁻³. The magnetic moment is 0.00 μB per cell. As for the formation enthalpy at 0 K: -0.259 eV/atom. The space-group type is P4/mmm (123). The calculation puts the uncorrected energy at -2.36 eV per atom.

---

3.
Compound: K2NaCdAs2
Source: the Alexandria database
Functional: PBE-GGA
Structure: relaxed

The structure in POSCAR format:
```
K2NaCdAs2
1.0
6.748 0.000 0.000
0.000 6.680 0.000
-3.374 -3.340 7.928
K Na Cd As
4 2 2 4
Cartesian
1.654 0.000 2.769 K
1.720 3.340 5.158 K
-1.720 0.000 5.158 K
5.094 3.340 2.769 K
0.000 5.010 0.000 Na
0.000 1.670 0.000 Na
3.374 5.010 0.000 Cd
3.374 1.670 0.000 Cd
4.890 0.000 1.653 As
1.858 3.340 1.653 As
1.516 0.000 6.275 As
-1.516 3.340 6.275 As
```

## Properties
As for the theoretical density: 3.378 g cm⁻³. The magnetic moment is 0.01 μB per cell. As for the formation enthalpy at 0 K: -0.375 eV/atom. The space-group type is Ibam (72). The calculation puts the uncorrected energy at -2.66 eV per atom.

---

4.
Compound: KCdNiAs
Source: the Alexandria database
Functional: PBE-GGA
Structure: relaxed

The structure in POSCAR format:
```
KCdNiAs
1.0
4.105 0.000 0.000
0.000 4.105 0.000
0.000 0.000 12.565
K Cd Ni As
2 2 2 2
Cartesian
3.079 3.079 2.962 K
1.026 1.026 9.602 K
1.026 3.079 6.282 Cd
3.079 1.026 6.282 Cd
3.079 1.026 0.000 Ni
1.026 3.079 0.000 Ni
3.079 3.079 11.414 As
1.026 1.026 1.150 As
```

## Properties
As for the theoretical density: 4.471 g cm⁻³. The magnetic moment is 0.00 μB per cell. As for the formation enthalpy at 0 K: -0.264 eV/atom. The space-group type is P4/nmm (129). The calculation puts the uncorrected energy at -3.37 eV per atom.

---

5.
Compound: KCdAs2O6
Source: the Alexandria database
Functional: PBE-GGA
Structure: relaxed

The structure in POSCAR format:
```
KCdAs2O6
1.0
6.392 0.091 0.094
2.155 7.483 0.059
2.155 -0.218 7.480
K Cd As O
2 2 4 12
Cartesian
3.753 6.634 0.923 K
6.949 0.722 6.711 K
3.753 1.775 5.605 Cd
6.949 5.581 2.028 Cd
5.242 5.741 4.803 As
2.263 2.723 1.671 As
5.459 1.614 2.830 As
8.438 4.633 5.963 As
5.067 7.101 5.833 O
2.438 1.744 0.274 O
5.634 0.254 1.800 O
8.264 5.612 7.360 O
5.162 6.166 3.136 O
2.343 4.405 1.309 O
5.540 1.190 4.498 O
8.358 2.951 6.325 O
3.822 4.622 5.165 O
3.684 2.320 2.776 O
6.880 2.734 2.468 O
7.018 5.036 4.857 O
```

## Properties
As for the theoretical density: 3.719 g cm⁻³. The magnetic moment is 0.00 μB per cell. Its uncorrected formation energy is -1.248 eV/atom. The space-group type is C2/c (15). The calculation puts the uncorrected energy at -5.35 eV per atom.

---

6.
Compound: K3CdAs2O6
Source: the Alexandria database
Functional: PBE-GGA
Structure: relaxed

The structure in POSCAR format:
```
K3CdAs2O6
1.0
-2.234 -0.727 -5.513
3.067 -4.444 2.601
-6.036 -2.538 2.780
K Cd As O
3 1 2 6
Cartesian
-2.704 -4.889 1.740 K
-2.499 -2.821 -1.873 K
0.000 0.000 0.000 K
-3.018 -1.269 1.390 Cd
-5.275 -3.988 -0.594 As
0.073 -3.721 0.462 As
-0.719 -4.888 -0.598 O
-1.112 -2.452 0.774 O
0.332 -4.545 1.999 O
-4.091 -5.257 -0.906 O
-4.483 -2.822 0.465 O
-5.535 -3.164 -2.131 O
```

## Properties
As for the theoretical density: 3.569 g cm⁻³. The magnetic moment is 1.03 μB per cell. Its uncorrected formation energy is -1.417 eV/atom. The space-group type is P-3m1 (164). The calculation puts the uncorrected energy at -5.02 eV per atom.

---

7.
Compound: K2CdAsO4
Source: the Alexandria database
Functional: PBE-GGA
Structure: relaxed

The structure in POSCAR format:
```
K2CdAsO4
1.0
6.005 -0.267 -0.410
-2.801 5.319 0.410
-2.801 -1.765 5.034
K Cd As O
2 1 1 4
Cartesian
0.202 3.414 1.361 K
0.000 0.000 0.000 K
0.202 -0.128 3.673 Cd
-2.801 1.777 2.722 As
1.462 1.216 2.239 O
-2.012 0.222 3.019 O
3.682 2.261 0.784 O
-2.324 2.873 4.025 O
```

## Properties
As for the theoretical density: 3.564 g cm⁻³. The magnetic moment is 0.00 μB per cell. Its uncorrected formation energy is -1.357 eV/atom. The space-group type is I-4 (82). The calculation puts the uncorrected energy at -4.81 eV per atom.

---

8.
Compound: KCdAs2Pt4
Source: the Alexandria database
Functional: PBE-GGA
Structure: relaxed

The structure in POSCAR format:
```
KCdAs2Pt4
1.0
-2.119 3.169 1.387
-3.279 -1.320 -1.991
-2.893 -5.661 8.516
K Cd As Pt
1 1 2 4
Cartesian
-1.446 -2.830 4.258 K
0.000 0.000 0.000 Cd
-3.617 -0.872 2.400 As
-4.674 -2.940 5.512 As
-2.186 -1.729 0.613 Pt
-3.406 -3.007 7.601 Pt
-1.606 0.515 2.302 Pt
-3.986 -5.252 5.912 Pt
```

## Properties
As for the theoretical density: 10.269 g cm⁻³. The magnetic moment is 0.00 μB per cell. As for the formation enthalpy at 0 K: -0.341 eV/atom. The space-group type is P4/mmm (123). The calculation puts the uncorrected energy at -4.78 eV per atom.

---

9.
Compound: KCd2AsPt
Source: the Alexandria database
Functional: PBE-GGA
Structure: relaxed

The structure in POSCAR format:
```
KCd2AsPt
1.0
5.288 0.000 0.000
0.000 5.288 0.000
0.000 0.000 4.989
As K Pt Cd
1 1 1 2
Cartesian
0.000 0.000 2.494 As
2.644 2.644 2.494 K
0.000 0.000 0.000 Pt
0.000 2.644 0.000 Cd
2.644 0.000 0.000 Cd
```

## Properties
As for the theoretical density: 6.356 g cm⁻³. The magnetic moment is 0.00 μB per cell. As for the formation enthalpy at 0 K: -0.143 eV/atom. The space-group type is P4/mmm (123). The calculation puts the uncorrected energy at -2.87 eV per atom.

---

10.
Compound: K2RbCdAs2
Source: the Alexandria database
Functional: PBE-GGA
Structure: relaxed

The structure in POSCAR format:
```
K2RbCdAs2
1.0
-6.503 -0.140 -5.492
-4.491 -0.718 5.336
4.921 7.723 0.574
K Rb Cd As
4 2 2 4
Cartesian
-2.333 2.640 -1.608 K
-3.740 4.226 2.027 K
0.767 4.633 1.268 K
-6.840 2.232 -0.850 K
-3.369 -0.538 4.002 Rb
-1.123 -0.179 1.334 Rb
-6.620 -0.608 1.256 Cd
-4.374 -0.249 -1.412 Cd
-4.594 1.358 -3.684 As
-4.384 1.052 1.058 As
-1.689 5.814 -0.640 As
-1.479 5.508 4.102 As
```

## Properties
As for the theoretical density: 3.231 g cm⁻³. The magnetic moment is 1.90 μB per cell. As for the formation enthalpy at 0 K: -0.300 eV/atom. The space-group type is Ibam (72). The calculation puts the uncorrected energy at -2.53 eV per atom.

---

11.
Compound: KRb2CdAs2
Source: the Alexandria database
Functional: PBE-GGA
Structure: relaxed

The structure in POSCAR format:
```
KRb2CdAs2
1.0
7.891 0.000 0.000
0.000 7.052 0.000
-3.946 -3.526 7.873
K Rb Cd As
2 4 2 4
Cartesian
0.000 5.289 0.000 K
0.000 1.763 0.000 K
2.266 0.000 2.802 Rb
1.680 3.526 5.071 Rb
-1.680 0.000 5.071 Rb
5.625 3.526 2.802 Rb
3.946 5.289 0.000 Cd
3.946 1.763 0.000 Cd
5.502 0.000 1.524 As
2.389 3.526 1.524 As
1.557 0.000 6.349 As
-1.557 3.526 6.349 As
```

## Properties
As for the theoretical density: 3.580 g cm⁻³. The magnetic moment is 1.73 μB per cell. As for the formation enthalpy at 0 K: -0.311 eV/atom. The space-group type is Ibam (72). The calculation puts the uncorrected energy at -2.52 eV per atom.

---

12.
Compound: KRbCd2As2
Source: the Alexandria database
Functional: PBE-GGA
Structure: relaxed

The structure in POSCAR format:
```
KRbCd2As2
1.0
-1.384 -4.328 -0.711
4.487 0.955 0.322
-0.412 -1.586 10.456
K Rb Cd As
1 1 2 2
Cartesian
-0.206 -0.793 5.228 K
0.000 0.000 0.000 Rb
2.225 -1.977 7.705 Cd
0.465 -2.980 2.362 Cd
2.424 -1.214 2.671 As
0.267 -3.744 7.396 As
```

## Properties
As for the theoretical density: 4.277 g cm⁻³. The magnetic moment is 0.00 μB per cell. As for the formation enthalpy at 0 K: -0.411 eV/atom. The space-group type is P-3m1 (164). The calculation puts the uncorrected energy at -2.61 eV per atom.

---

Question: Which of these has the lowest theoretical density?
Answer: number 1

---

Please write out number 2 again, unchanged.
Compound: KLi2CdAs
Source: the Alexandria database
Functional: PBE-GGA
Structure: relaxed

The structure in POSCAR format:
```
KLi2CdAs
1.0
4.996 0.000 0.000
0.000 4.996 0.000
0.000 0.000 5.758
As Li K Cd
1 2 1 1
Cartesian
0.000 0.000 0.000 As
0.000 2.498 0.000 Li
2.498 0.000 0.000 Li
2.498 2.498 2.879 K
0.000 0.000 2.879 Cd
```

## Properties
As for the theoretical density: 2.777 g cm⁻³. The magnetic moment is 0.00 μB per cell. As for the formation enthalpy at 0 K: -0.259 eV/atom. The space-group type is P4/mmm (123). The calculation puts the uncorrected energy at -2.36 eV per atom.

---

Question: magnetic moment of number 9 (KCd2AsPt)?
Answer: 0.00 μB per cell